# 1
An optimized crystal structure of Sr2HgSe, computed with PBE.

Formation energy from raw total energies ... -924 meV per atom
DOS(E_F) ... 0.48 states/eV per atom
VASP energy ... -2.71 eV per atom

Structure (CIF):
```
data_Sr2HgSe
_cell_length_a 4.5379
_cell_length_b 4.5379
_cell_length_c 12.7979
_cell_angle_alpha 90.00
_cell_angle_beta 90.00
_cell_angle_gamma 90.00
_space_group_name_H-M_alt 'I -4 m 2'
_space_group_IT_number 119
_space_group_name_Hall 'I -4 -2'
loop_
_atom_site_label
_atom_site_type_symbol
_atom_site_fract_x
_atom_site_fract_y
_atom_site_fract_z
Sr1 Sr 0.0000 0.0000 0.0000
Sr2 Sr 0.0000 0.5000 0.2500
Hg1 Hg 0.0000 0.5000 0.7500
Se1 Se 0.0000 0.0000 0.5000
```


# 2
An optimized crystal structure of SrHgSe2, computed with PBE.

Formation energy from raw total energies ... -1019 meV per atom
VASP energy ... -3.26 eV per atom

Structure (CIF):
```
data_SrHgSe2
_cell_length_a 6.3531
_cell_length_b 6.3287
_cell_length_c 13.1630
_cell_angle_alpha 90.00
_cell_angle_beta 118.44
_cell_angle_gamma 90.00
_space_group_name_H-M_alt 'P 1 2/c 1'
_space_group_IT_number 13
loop_
_space_group_symop_operation_xyz
'x,y,z'
'-x,-y,-z'
'-x,y,-z+1/2'
'x,-y,z+1/2'
loop_
_atom_site_label
_atom_site_type_symbol
_atom_site_fract_x
_atom_site_fract_y
_atom_site_fract_z
Sr1 Sr 0.1362 0.2482 0.1249
Hg1 Hg 0.3020 0.3152 0.8769
Se1 Se 0.1494 0.2498 0.6428
Se2 Se 0.3805 0.2469 0.3925
```


# 3
An optimized crystal structure of Sr2ThHgSe5, computed with PBE.

Formation energy from raw total energies ... -1522 meV per atom
VASP energy ... -4.69 eV per atom

Structure (CIF):
```
data_Sr2ThHgSe5
_cell_length_a 4.3090
_cell_length_b 18.5529
_cell_length_c 13.1900
_cell_angle_alpha 90.00
_cell_angle_beta 90.00
_cell_angle_gamma 90.00
_space_group_name_H-M_alt 'C m c 21'
_space_group_IT_number 36
loop_
_space_group_symop_operation_xyz
'x,y,z'
'-x,-y,z+1/2'
'-x,y,z'
'x,-y,z+1/2'
'x+1/2,y+1/2,z'
'-x+1/2,-y+1/2,z+1/2'
'-x+1/2,y+1/2,z'
'x+1/2,-y+1/2,z+1/2'
loop_
_atom_site_label
_atom_site_type_symbol
_atom_site_fract_x
_atom_site_fract_y
_atom_site_fract_z
Sr1 Sr 0.0000 0.1085 0.0000
Sr2 Sr 0.0000 0.1238 0.6349
Th1 Th 0.0000 0.2077 0.3335
Hg1 Hg 0.0000 0.4579 0.7696
Se1 Se 0.0000 0.0537 0.3883
Se2 Se 0.0000 0.2865 0.9840
Se3 Se 0.0000 0.3030 0.6824
Se4 Se 0.0000 0.3619 0.3231
Se5 Se 0.0000 0.4966 0.0853
```


# 4
An optimized crystal structure of SrTlHgSe2, computed with PBE.

Formation energy from raw total energies ... -764 meV per atom
DOS(E_F) ... 0.18 states/eV per atom
VASP energy ... -3.03 eV per atom

Structure (CIF):
```
data_SrTlHgSe2
_cell_length_a 4.4579
_cell_length_b 7.8557
_cell_length_c 8.6569
_cell_angle_alpha 90.00
_cell_angle_beta 92.40
_cell_angle_gamma 90.00
_space_group_name_H-M_alt 'P 1 2/c 1'
_space_group_IT_number 13
loop_
_space_group_symop_operation_xyz
'x,y,z'
'-x,-y,-z'
'-x,y,-z+1/2'
'x,-y,z+1/2'
loop_
_atom_site_label
_atom_site_type_symbol
_atom_site_fract_x
_atom_site_fract_y
_atom_site_fract_z
Sr1 Sr 0.0000 0.0215 0.2500
Tl1 Tl 0.5000 0.4815 0.7500
Hg1 Hg 0.0000 0.5000 0.0000
Se1 Se 0.4035 0.1689 0.9991
```


# 5
An optimized crystal structure of Sr2TlHgSe5, computed with PBE.

Formation energy from raw total energies ... -900 meV per atom
DOS(E_F) ... 0.51 states/eV per atom
VASP energy ... -3.51 eV per atom

Structure (CIF):
```
data_Sr2TlHgSe5
_cell_length_a 4.2348
_cell_length_b 19.4316
_cell_length_c 12.7700
_cell_angle_alpha 90.00
_cell_angle_beta 90.00
_cell_angle_gamma 90.00
_space_group_name_H-M_alt 'C m c 21'
_space_group_IT_number 36
loop_
_space_group_symop_operation_xyz
'x,y,z'
'-x,-y,z+1/2'
'-x,y,z'
'x,-y,z+1/2'
'x+1/2,y+1/2,z'
'-x+1/2,-y+1/2,z+1/2'
'-x+1/2,y+1/2,z'
'x+1/2,-y+1/2,z+1/2'
loop_
_atom_site_label
_atom_site_type_symbol
_atom_site_fract_x
_atom_site_fract_y
_atom_site_fract_z
Sr1 Sr 0.0000 0.0968 0.0000
Sr2 Sr 0.0000 0.1241 0.6548
Tl1 Tl 0.0000 0.4256 0.7963
Hg1 Hg 0.0000 0.2456 0.4008
Se1 Se 0.0000 0.0591 0.4237
Se2 Se 0.0000 0.2578 0.0526
Se3 Se 0.0000 0.2837 0.7589
Se4 Se 0.0000 0.3812 0.3332
Se5 Se 0.0000 0.4934 0.6175
```


# 6
An optimized crystal structure of Sr2UHgSe5, computed with PBE.

Formation energy from raw total energies ... -1326 meV per atom
DOS(E_F) ... 0.50 states/eV per atom
VASP energy ... -4.92 eV per atom

Structure (CIF):
```
data_Sr2UHgSe5
_cell_length_a 4.2451
_cell_length_b 18.3813
_cell_length_c 13.1387
_cell_angle_alpha 90.00
_cell_angle_beta 90.00
_cell_angle_gamma 90.00
_space_group_name_H-M_alt 'C m c 21'
_space_group_IT_number 36
loop_
_space_group_symop_operation_xyz
'x,y,z'
'-x,-y,z+1/2'
'-x,y,z'
'x,-y,z+1/2'
'x+1/2,y+1/2,z'
'-x+1/2,-y+1/2,z+1/2'
'-x+1/2,y+1/2,z'
'x+1/2,-y+1/2,z+1/2'
loop_
_atom_site_label
_atom_site_type_symbol
_atom_site_fract_x
_atom_site_fract_y
_atom_site_fract_z
Sr1 Sr 0.0000 0.1103 0.0000
Sr2 Sr 0.0000 0.1261 0.6319
U1 U 0.0000 0.2081 0.3327
Hg1 Hg 0.0000 0.4554 0.7641
Se1 Se 0.0000 0.0572 0.3849
Se2 Se 0.0000 0.2863 0.9785
Se3 Se 0.0000 0.3016 0.6846
Se4 Se 0.0000 0.3599 0.3209
Se5 Se 0.0000 0.4959 0.0809
```


# 7
An optimized crystal structure of Sr2ZrHgSe5, computed with PBE.

Formation energy from raw total energies ... -1365 meV per atom
DOS(E_F) ... 0.00 states/eV per atom
VASP energy ... -4.66 eV per atom

Structure (CIF):
```
data_Sr2ZrHgSe5
_cell_length_a 4.1176
_cell_length_b 18.4613
_cell_length_c 13.0293
_cell_angle_alpha 90.00
_cell_angle_beta 90.00
_cell_angle_gamma 90.00
_space_group_name_H-M_alt 'C m c 21'
_space_group_IT_number 36
loop_
_space_group_symop_operation_xyz
'x,y,z'
'-x,-y,z+1/2'
'-x,y,z'
'x,-y,z+1/2'
'x+1/2,y+1/2,z'
'-x+1/2,-y+1/2,z+1/2'
'-x+1/2,y+1/2,z'
'x+1/2,-y+1/2,z+1/2'
loop_
_atom_site_label
_atom_site_type_symbol
_atom_site_fract_x
_atom_site_fract_y
_atom_site_fract_z
Sr1 Sr 0.0000 0.1111 0.0000
Sr2 Sr 0.0000 0.1294 0.6240
Zr1 Zr 0.0000 0.2149 0.3287
Hg1 Hg 0.0000 0.4607 0.7643
Se1 Se 0.0000 0.0703 0.3826
Se2 Se 0.0000 0.2804 0.9717
Se3 Se 0.0000 0.2982 0.6871
Se4 Se 0.0000 0.3591 0.3189
Se5 Se 0.0000 0.4955 0.0790
```


# 8
An optimized crystal structure of TaHg2Se, computed with PBE.

Formation energy from raw total energies ... 434 meV per atom
DOS(E_F) ... 0.88 states/eV per atom
VASP energy ... -3.55 eV per atom

Structure (CIF):
```
data_TaHg2Se
_cell_length_a 3.2411
_cell_length_b 3.2411
_cell_length_c 27.6278
_cell_angle_alpha 90.00
_cell_angle_beta 90.00
_cell_angle_gamma 120.00
_space_group_name_H-M_alt 'R -3 m'
_space_group_IT_number 166
_space_group_name_Hall '-R 3 2"'
loop_
_atom_site_label
_atom_site_type_symbol
_atom_site_fract_x
_atom_site_fract_y
_atom_site_fract_z
Ta1 Ta 0.0000 0.0000 0.0000
Hg1 Hg 0.0000 0.0000 0.2500
Se1 Se 0.0000 0.0000 0.5000
```